{
  "formula": "HoSnOs",
  "functional": "PBE",
  "state": "relaxed",
  "magmom_total_mub_per_fu": 0.0,
  "final_energy_ev_per_atom": -6.75,
  "lattice": [[6.5644, 0.0000, 0.0000], [0.0000, 6.5644, 0.0000], [0.0000, 0.0000, 6.5644]],
  "species": ["Ho", "Ho", "Ho", "Ho", "Sn", "Sn", "Sn", "Sn", "Os", "Os", "Os", "Os"],
  "frac_coords": [[0.0000, 0.0000, 0.0000], [0.0000, 0.5000, 0.5000], [0.5000, 0.0000, 0.5000], [0.5000, 0.5000, 0.0000], [0.0000, 0.0000, 0.5000], [0.0000, 0.5000, 0.0000], [0.5000, 0.0000, 0.0000], [0.5000, 0.5000, 0.5000], [0.2500, 0.2500, 0.2500], [0.2500, 0.7500, 0.7500], [0.7500, 0.2500, 0.7500], [0.7500, 0.7500, 0.2500]]
}